A relaxed structure of KCdRe2. Source: Alexandria, functional PBEsol. Values from VASP.

Properties
Raw total energy = -23.8 eV/cell
DFT formation energy = 1.29 eV per atom
SG = No. 12

```
&SYSTEM
  ibrav = 0, nat = 4, ntyp = 3
/
ATOMIC_SPECIES
K 39.10 K.upf
Cd 112.41 Cd.upf
Re 186.21 Re.upf
CELL_PARAMETERS angstrom
2.7349 -5.2706 0.0000
2.7349 5.2706 0.0000
-0.8626 0.0000 2.5129
ATOMIC_POSITIONS crystal
K 0.0000 0.0000 0.0000
Cd 0.5000 0.5000 0.0000
Re 0.0000 0.5000 0.5000
Re 0.5000 0.0000 0.5000
```